(1)
The following is a DFT calculation (PBE) of Th2HgIr after structural relaxation.

a b c (Å): 3.6355 3.6355 7.7654
angles (deg): 90.00 90.00 90.00
Space group P4/mmm (No. 123)
One atom of each set of equivalent atoms:
1 Th 0.0000 0.0000 0.2156
2 Hg 0.5000 0.5000 0.5000
3 Ir 0.5000 0.5000 0.0000

Output
ΔE to the lowest computed polymorph in meV per atom: 106
N(E_F) in states/eV/cell: 3.9
M_tot in μB/atom: 0.000

(2)
The following is a DFT calculation (PBE) of Th4HgIr after structural relaxation.

a b c (Å): 7.4072 7.4396 7.0047
angles (deg): 90.00 93.43 90.00
Space group P2_1/c (No. 14)
One atom of each set of equivalent atoms:
1 Th 0.1382 0.1580 0.1697
2 Th 0.3358 0.6363 0.1071
3 Hg 0.5000 0.0000 0.0000
4 Ir 0.0000 0.0000 0.5000

Output
E in eV per atom: -6.6295
N(E_F) in states/eV/cell: 16.3
M_tot in μB/atom: 0.000

(3)
The following is a DFT calculation (PBE) of Th3HgIr8 after structural relaxation.

a b c (Å): 5.4233 5.4233 26.6586
angles (deg): 90.00 90.00 120.00
Space group R3m (No. 160, hexagonal axes)
One atom of each set of equivalent atoms:
1 Th 0.0000 0.0000 0.0000
2 Th 0.0000 0.0000 0.1296
3 Th 0.0000 0.0000 0.6154
4 Hg 0.0000 0.0000 0.4946
5 Ir 0.0000 0.0000 0.3111
6 Ir 0.0000 0.0000 0.8113
7 Ir 0.0003 0.5001 0.0604
8 Ir 0.0032 0.5016 0.5620

Output
E in eV per atom: -8.4083
N(E_F) in states/eV/cell: 31.4
M_tot in μB/atom: 0.000

(4)
The following is a DFT calculation (PBE) of Th12Hg6Ir after structural relaxation.

a b c (Å): 11.7127 11.7127 13.7800
angles (deg): 90.00 90.00 120.00
Space group R-3 (No. 148, hexagonal axes)
One atom of each set of equivalent atoms:
1 Th 0.0382 0.8549 0.3262
2 Th 0.0650 0.2137 0.9078
3 Hg 0.0279 0.5922 0.2073
4 Ir 0.0000 0.0000 0.5000

Output
E in eV per atom: -5.2960
N(E_F) in states/eV/cell: 64.3
M_tot in μB/atom: 0.000

(5)
The following is a DFT calculation (PBE) of ThHgIr after structural relaxation.

a b c (Å): 4.0471 4.0471 9.5725
angles (deg): 90.00 90.00 90.00
Space group P4/nmm (No. 129, origin choice 2)
One atom of each set of equivalent atoms:
1 Th 0.2500 0.2500 0.1519
2 Hg 0.2500 0.2500 0.5599
3 Ir 0.2500 0.2500 0.8476

Output
E in eV per atom: -6.1037
N(E_F) in states/eV/cell: 2.7
M_tot in μB/atom: 0.000

(6)
The following is a DFT calculation (PBE) of ThHgIr after structural relaxation.

a b c (Å): 6.7637 6.7637 6.7637
angles (deg): 90.00 90.00 90.00
Space group F-43m (No. 216)
One atom of each set of equivalent atoms:
1 Th 0.0000 0.0000 0.0000
2 Hg 0.0000 0.0000 0.5000
3 Ir 0.2500 0.2500 0.2500

Output
E in eV per atom: -5.9864
N(E_F) in states/eV/cell: 8.0
M_tot in μB/atom: 0.000

Question: The lowest N(E_F) belongs to which entry?
Answer: number 5

Question: Which formula does entry 2 have?
Answer: Th4HgIr